1.
## Pr2InS (PBE-GGA)

Data for crystalline Pr2InS at its relaxed geometry.

Cell and atoms, written as CIF:
```
data_Pr2InS
_chemical_formula_sum 'Pr2 In1 S1'
_cell_length_a 4.055
_cell_length_b 4.055
_cell_length_c 8.440
_cell_angle_alpha 76.10
_cell_angle_beta 76.10
_cell_angle_gamma 60.00
_space_group_name_H-M_alt 'P 1'
_space_group_IT_number 1
loop_
_space_group_symop_operation_xyz
'x,y,z'
loop_
_atom_site_label
_atom_site_fract_x
_atom_site_fract_y
_atom_site_fract_z
_atom_site_occupancy
S1 0.000 0.000 0.000 1
Pr1 0.264 0.264 0.208 1
Pr2 0.736 0.736 0.792 1
In1 0.500 0.500 0.500 1
```

As for the calculated volume: 115.44 Å³ per cell. The value obtained for the energy above the lowest structure with this stoichiometry is 14 meV per atom. The crystal system is trigonal. The total DFT energy (no corrections) comes out at -21.199 eV/f.u. As for the uncorrected formation energy: -115.16 kJ/mol of atoms. The density of states at the Fermi level is 2.541 states/eV/cell.

2.
## AcEuNi2 (PBE-GGA)

Data for crystalline AcEuNi2 at its relaxed geometry.

Cell and atoms, written as CIF:
```
data_AcEuNi2
_chemical_formula_sum 'Ac1 Eu1 Ni2'
_cell_length_a 4.185
_cell_length_b 4.185
_cell_length_c 7.172
_cell_angle_alpha 73.04
_cell_angle_beta 73.04
_cell_angle_gamma 60.00
_space_group_name_H-M_alt 'P 1'
_space_group_IT_number 1
loop_
_space_group_symop_operation_xyz
'x,y,z'
loop_
_atom_site_label
_atom_site_fract_x
_atom_site_fract_y
_atom_site_fract_z
_atom_site_occupancy
Eu1 0.000 0.000 0.000 1
Ac1 0.500 0.500 0.500 1
Ni1 0.251 0.251 0.247 1
Ni2 0.749 0.749 0.753 1
```

The formation energy comes out at -34 meV/atom. As for the calculated volume: 102.41 Å³ per cell. The crystal system is trigonal. The total DFT energy (no corrections) comes out at -26.081 eV/f.u. The density of states at the Fermi level is 12.385 states/eV/cell.

3.
## ZnSe2O6F (PBE-GGA)

Data for crystalline ZnSe2O6F at its relaxed geometry.

Cell and atoms, written as CIF:
```
data_ZnSe2O6F
_chemical_formula_sum 'Zn2 Se4 O12 F2'
_cell_length_a 5.993
_cell_length_b 7.865
_cell_length_c 7.865
_cell_angle_alpha 79.06
_cell_angle_beta 68.52
_cell_angle_gamma 68.52
_space_group_name_H-M_alt 'P 1'
_space_group_IT_number 1
loop_
_space_group_symop_operation_xyz
'x,y,z'
loop_
_atom_site_label
_atom_site_fract_x
_atom_site_fract_y
_atom_site_fract_z
_atom_site_occupancy
O1 0.760 0.977 0.375 1
Se1 0.828 0.598 0.801 1
Zn1 0.250 0.170 0.830 1
O2 0.030 0.620 0.248 1
O3 0.505 0.661 0.734 1
Se2 0.672 0.199 0.402 1
O4 0.970 0.380 0.752 1
Se3 0.328 0.801 0.598 1
O5 0.005 0.734 0.661 1
F1 0.750 0.013 0.987 1
Zn2 0.750 0.830 0.170 1
O6 0.260 0.375 0.977 1
O7 0.995 0.266 0.339 1
Se4 0.172 0.402 0.199 1
O8 0.740 0.625 0.023 1
O9 0.495 0.339 0.266 1
O10 0.240 0.023 0.625 1
O11 0.530 0.248 0.620 1
F2 0.250 0.987 0.013 1
O12 0.470 0.752 0.380 1
```

As for the calculated volume: 320.38 Å³ per cell. The crystal system is monoclinic. The total DFT energy (no corrections) comes out at -46.815 eV/f.u. As for the uncorrected formation energy: -67.07 kJ/mol of atoms. The density of states at the Fermi level is 4.462 states/eV/cell.

4.
## Al2Ru2Au (PBE-GGA)

Data for crystalline Al2Ru2Au at its relaxed geometry.

Cell and atoms, written as CIF:
```
data_Al2Ru2Au
_chemical_formula_sum 'Al4 Ru4 Au2'
_cell_length_a 6.926
_cell_length_b 6.926
_cell_length_c 3.086
_cell_angle_alpha 90.00
_cell_angle_beta 90.00
_cell_angle_gamma 90.00
_space_group_name_H-M_alt 'P 1'
_space_group_IT_number 1
loop_
_space_group_symop_operation_xyz
'x,y,z'
loop_
_atom_site_label
_atom_site_fract_x
_atom_site_fract_y
_atom_site_fract_z
_atom_site_occupancy
Al1 0.137 0.363 0.000 1
Al2 0.863 0.637 0.000 1
Au1 0.000 0.000 0.000 1
Ru1 0.659 0.841 0.500 1
Ru2 0.159 0.659 0.500 1
Ru3 0.841 0.341 0.500 1
Al3 0.363 0.863 0.000 1
Ru4 0.341 0.159 0.500 1
Au2 0.500 0.500 0.000 1
Al4 0.637 0.137 0.000 1
```

The formation energy comes out at -310 meV/atom. As for the calculated volume: 148.05 Å³ per cell. The value obtained for the energy above the lowest structure with this stoichiometry is 0 meV per atom. The crystal system is tetragonal. The total DFT energy (no corrections) comes out at -30.863 eV/f.u. The density of states at the Fermi level is 5.129 states/eV/cell.

5.
## TiAlS (PBE-GGA)

Data for crystalline TiAlS at its relaxed geometry.

Cell and atoms, written as CIF:
```
data_TiAlS
_chemical_formula_sum 'Ti2 Al2 S2'
_cell_length_a 3.258
_cell_length_b 3.258
_cell_length_c 12.782
_cell_angle_alpha 82.68
_cell_angle_beta 82.68
_cell_angle_gamma 60.00
_space_group_name_H-M_alt 'P 1'
_space_group_IT_number 1
loop_
_space_group_symop_operation_xyz
'x,y,z'
loop_
_atom_site_label
_atom_site_fract_x
_atom_site_fract_y
_atom_site_fract_z
_atom_site_occupancy
S1 0.710 0.710 0.871 1
Ti1 0.412 0.412 0.763 1
Al1 0.137 0.137 0.589 1
S2 0.290 0.290 0.129 1
Ti2 0.588 0.588 0.237 1
Al2 0.863 0.863 0.411 1
```

As for the calculated volume: 116.20 Å³ per cell. The crystal system is trigonal. The total DFT energy (no corrections) comes out at -17.652 eV/f.u. As for the uncorrected formation energy: -60.68 kJ/mol of atoms. The density of states at the Fermi level is 6.274 states/eV/cell.

6.
## ScMnZn2C (PBE-GGA)

Data for crystalline ScMnZn2C at its relaxed geometry.

Cell and atoms, written as CIF:
```
data_ScMnZn2C
_chemical_formula_sum 'Sc1 Mn1 Zn2 C1'
_cell_length_a 4.250
_cell_length_b 3.954
_cell_length_c 4.250
_cell_angle_alpha 90.00
_cell_angle_beta 90.00
_cell_angle_gamma 90.00
_space_group_name_H-M_alt 'P 1'
_space_group_IT_number 1
loop_
_space_group_symop_operation_xyz
'x,y,z'
loop_
_atom_site_label
_atom_site_fract_x
_atom_site_fract_y
_atom_site_fract_z
_atom_site_occupancy
Zn1 0.000 0.000 0.500 1
Mn1 0.000 0.500 0.000 1
Zn2 0.500 0.000 0.000 1
Sc1 0.500 0.500 0.500 1
C1 0.000 0.000 0.000 1
```

The formation energy comes out at 327 meV/atom. As for the calculated volume: 71.42 Å³ per cell. The crystal system is tetragonal. The total DFT energy (no corrections) comes out at -25.640 eV/f.u. The density of states at the Fermi level is 4.156 states/eV/cell.

7.
## Tc2GeOsSe (PBE-GGA)

Data for crystalline Tc2GeOsSe at its relaxed geometry.

Cell and atoms, written as CIF:
```
data_Tc2GeOsSe
_chemical_formula_sum 'Tc2 Ge1 Os1 Se1'
_cell_length_a 4.808
_cell_length_b 4.704
_cell_length_c 4.808
_cell_angle_alpha 90.00
_cell_angle_beta 90.00
_cell_angle_gamma 90.00
_space_group_name_H-M_alt 'P 1'
_space_group_IT_number 1
loop_
_space_group_symop_operation_xyz
'x,y,z'
loop_
_atom_site_label
_atom_site_fract_x
_atom_site_fract_y
_atom_site_fract_z
_atom_site_occupancy
Tc1 0.500 0.000 0.000 1
Os1 0.000 0.000 0.000 1
Se1 0.500 0.500 0.500 1
Ge1 0.000 0.500 0.000 1
Tc2 0.000 0.000 0.500 1
```

As for the calculated volume: 108.73 Å³ per cell. The crystal system is tetragonal. The total DFT energy (no corrections) comes out at -33.274 eV/f.u. As for the uncorrected formation energy: 131.02 kJ/mol of atoms. The density of states at the Fermi level is 5.712 states/eV/cell.

8.
## PuS6F2 (PBE-GGA)

Data for crystalline PuS6F2 at its relaxed geometry.

Cell and atoms, written as CIF:
```
data_PuS6F2
_chemical_formula_sum 'Pu1 S6 F2'
_cell_length_a 7.542
_cell_length_b 7.542
_cell_length_c 3.887
_cell_angle_alpha 88.38
_cell_angle_beta 88.38
_cell_angle_gamma 103.20
_space_group_name_H-M_alt 'P 1'
_space_group_IT_number 1
loop_
_space_group_symop_operation_xyz
'x,y,z'
loop_
_atom_site_label
_atom_site_fract_x
_atom_site_fract_y
_atom_site_fract_z
_atom_site_occupancy
S1 0.311 0.311 0.884 1
S2 0.753 0.448 0.895 1
Pu1 0.000 0.000 0.000 1
F1 0.109 0.891 0.500 1
S3 0.552 0.247 0.105 1
S4 0.448 0.753 0.895 1
F2 0.891 0.109 0.500 1
S5 0.689 0.689 0.116 1
S6 0.247 0.552 0.105 1
```

As for the calculated volume: 215.04 Å³ per cell. The crystal system is monoclinic. The total DFT energy (no corrections) comes out at -51.360 eV/f.u. As for the uncorrected formation energy: -91.34 kJ/mol of atoms. The density of states at the Fermi level is 8.937 states/eV/cell.

Short version: density = 6.17 8.05 3.51 10.16 3.06 5.64 8.21 3.66 g/cm3, in the order given.